one.
DFT (GGA-PBE) results for an optimized crystal structure of Tb4Zn3.

Geometry as POSCAR:
```
Tb4Zn3
1.0
4.8209 0.0000 1.4370
2.1963 4.2916 1.4370
0.0657 0.0402 8.5852
Tb Zn
4 3
direct
0.6209 0.6209 0.1373 Tb
0.8726 0.8726 0.3821 Tb
0.1274 0.1274 0.6179 Tb
0.3791 0.3791 0.8627 Tb
0.2526 0.2526 0.2421 Zn
0.7474 0.7474 0.7579 Zn
0.0000 0.0000 0.0000 Zn
```

Properties
The value obtained for the magnetic moment is 0.0 μB per formula unit. As for the symmetry: No. 166.

two.
DFT (GGA-PBE) results for an optimized crystal structure of Tb4Zn3.

Geometry as POSCAR:
```
Tb4Zn3
1.0
4.9779 0.0000 0.0000
2.4889 4.3109 0.0000
2.4889 1.4370 8.6255
Tb Zn
4 3
direct
0.7078 0.7078 0.8766 Tb
0.8757 0.8757 0.3729 Tb
0.2922 0.2922 0.1234 Tb
0.1243 0.1243 0.6271 Tb
0.5000 0.5000 0.5000 Zn
0.5939 0.5939 0.2184 Zn
0.4061 0.4061 0.7816 Zn
```

Properties
The value obtained for the magnetic moment is 0.0 μB per formula unit. As for the symmetry: No. 166.

Most stable structure: one